1.
# PBEsol FeReTc2, relaxed
data_FeReTc2
_chemical_formula_sum 'Fe1 Re1 Tc2'
_symmetry_space_group_name_H-M 'P 4/m m m'
_symmetry_Int_Tables_number 123
_symmetry_space_group_name_Hall '-P 4 2'
_cell_length_a 2.6681
_cell_length_b 2.6681
_cell_length_c 7.4267
_cell_angle_alpha 90.00
_cell_angle_beta 90.00
_cell_angle_gamma 90.00
loop_
_atom_site_label
_atom_site_fract_x
_atom_site_fract_y
_atom_site_fract_z
Fe1 0.0000 0.0000 0.0000
Re1 0.0000 0.0000 0.5000
Tc1 0.5000 0.5000 0.2322
# **Uncorrected energy**: -11.11 eV per atom
# **Crystal system**: tetragonal

***

2.
# PBEsol FeReTc2, relaxed
data_FeReTc2
_chemical_formula_sum 'Fe2 Re2 Tc4'
_symmetry_space_group_name_H-M 'C 1 2/m 1'
_symmetry_Int_Tables_number 12
_symmetry_space_group_name_Hall '-C 2y'
_cell_length_a 5.2079
_cell_length_b 8.5856
_cell_length_c 2.6107
_cell_angle_alpha 90.00
_cell_angle_beta 111.23
_cell_angle_gamma 90.00
loop_
_atom_site_label
_atom_site_fract_x
_atom_site_fract_y
_atom_site_fract_z
Fe1 0.0000 0.0000 0.0000
Re1 0.0000 0.5000 0.0000
Tc1 0.2500 0.2500 0.5000
# **Uncorrected energy**: -10.98 eV per atom
# **Crystal system**: monoclinic

***

3.
# PBEsol Fe2ReTc, relaxed
data_Fe2ReTc
_chemical_formula_sum 'Fe2 Re1 Tc1'
_symmetry_space_group_name_H-M 'P m m m'
_symmetry_Int_Tables_number 47
_symmetry_space_group_name_Hall '-P 2 2'
_cell_length_a 2.6088
_cell_length_b 3.5595
_cell_length_c 5.2122
_cell_angle_alpha 90.00
_cell_angle_beta 90.00
_cell_angle_gamma 90.00
loop_
_atom_site_label
_atom_site_fract_x
_atom_site_fract_y
_atom_site_fract_z
Fe1 0.0000 0.0000 0.2476
Re1 0.5000 0.5000 0.5000
Tc1 0.5000 0.5000 0.0000
# **Uncorrected energy**: -10.59 eV per atom
# **Crystal system**: orthorhombic

***

4.
# PBEsol Fe2ReTc, relaxed
data_Fe2ReTc
_chemical_formula_sum 'Fe4 Re2 Tc2'
_symmetry_space_group_name_H-M 'C m m m'
_symmetry_Int_Tables_number 65
_symmetry_space_group_name_Hall '-C 2 2'
_cell_length_a 5.2045
_cell_length_b 7.1262
_cell_length_c 2.6103
_cell_angle_alpha 90.00
_cell_angle_beta 90.00
_cell_angle_gamma 90.00
loop_
_atom_site_label
_atom_site_fract_x
_atom_site_fract_y
_atom_site_fract_z
Fe1 0.2500 0.2500 0.0000
Re1 0.0000 0.0000 0.5000
Tc1 0.0000 0.5000 0.5000
# **Uncorrected energy**: -10.59 eV per atom
# **Crystal system**: orthorhombic

***

5.
# PBEsol FeRe2Tc, relaxed
data_FeRe2Tc
_chemical_formula_sum 'Fe2 Re4 Tc2'
_symmetry_space_group_name_H-M 'I -4 m 2'
_symmetry_Int_Tables_number 119
_symmetry_space_group_name_Hall 'I -4 -2'
_cell_length_a 3.7901
_cell_length_b 3.7901
_cell_length_c 7.4986
_cell_angle_alpha 90.00
_cell_angle_beta 90.00
_cell_angle_gamma 90.00
loop_
_atom_site_label
_atom_site_fract_x
_atom_site_fract_y
_atom_site_fract_z
Fe1 0.0000 0.0000 0.0000
Re1 0.0000 0.0000 0.5000
Re2 0.0000 0.5000 0.2500
Tc1 0.0000 0.5000 0.7500
# **E above lowest polymorph**: 0.003 eV/atom
# **Crystal system**: tetragonal

***

6.
# PBEsol FeReTc2, relaxed
data_FeReTc2
_chemical_formula_sum 'Fe1 Re1 Tc2'
_symmetry_space_group_name_H-M 'P 4/m m m'
_symmetry_Int_Tables_number 123
_symmetry_space_group_name_Hall '-P 4 2'
_cell_length_a 3.7541
_cell_length_b 3.7541
_cell_length_c 3.7657
_cell_angle_alpha 90.00
_cell_angle_beta 90.00
_cell_angle_gamma 90.00
loop_
_atom_site_label
_atom_site_fract_x
_atom_site_fract_y
_atom_site_fract_z
Fe1 0.0000 0.0000 0.0000
Re1 0.5000 0.5000 0.0000
Tc1 0.0000 0.5000 0.5000
# **Uncorrected energy**: -11.15 eV per atom
# **Crystal system**: tetragonal

***

7.
# PBEsol Fe2ReTc, relaxed
data_Fe2ReTc
_chemical_formula_sum 'Fe4 Re2 Tc2'
_symmetry_space_group_name_H-M 'I m m 2'
_symmetry_Int_Tables_number 44
_symmetry_space_group_name_Hall 'I 2 -2'
_cell_length_a 2.9772
_cell_length_b 4.1332
_cell_length_c 8.2370
_cell_angle_alpha 90.00
_cell_angle_beta 90.00
_cell_angle_gamma 90.00
loop_
_atom_site_label
_atom_site_fract_x
_atom_site_fract_y
_atom_site_fract_z
Fe1 0.0000 0.0000 0.0000
Fe2 0.0000 0.5000 0.2684
Re1 0.0000 0.0000 0.5160
Tc1 0.0000 0.5000 0.7537
# **Uncorrected energy**: -10.52 eV per atom
# **Crystal system**: orthorhombic

***

8.
# PBEsol FeReTc2, relaxed
data_FeReTc2
_chemical_formula_sum 'Fe2 Re2 Tc4'
_symmetry_space_group_name_H-M 'I -4 m 2'
_symmetry_Int_Tables_number 119
_symmetry_space_group_name_Hall 'I -4 -2'
_cell_length_a 3.7708
_cell_length_b 3.7708
_cell_length_c 7.4699
_cell_angle_alpha 90.00
_cell_angle_beta 90.00
_cell_angle_gamma 90.00
loop_
_atom_site_label
_atom_site_fract_x
_atom_site_fract_y
_atom_site_fract_z
Fe1 0.0000 0.0000 0.0000
Re1 0.0000 0.5000 0.2500
Tc1 0.0000 0.0000 0.5000
Tc2 0.0000 0.5000 0.7500
# **Uncorrected energy**: -11.14 eV per atom
# **Crystal system**: tetragonal

***

9.
# PBEsol Fe2ReTc, relaxed
data_Fe2ReTc
_chemical_formula_sum 'Fe2 Re1 Tc1'
_symmetry_space_group_name_H-M 'P 1 2/m 1'
_symmetry_Int_Tables_number 10
_symmetry_space_group_name_Hall '-P 2y'
_cell_length_a 2.5510
_cell_length_b 4.1414
_cell_length_c 4.9897
_cell_angle_alpha 90.00
_cell_angle_beta 102.19
_cell_angle_gamma 90.00
loop_
_atom_site_label
_atom_site_fract_x
_atom_site_fract_y
_atom_site_fract_z
Fe1 0.2492 0.0000 0.2509
Re1 0.0000 0.5000 0.5000
Tc1 0.5000 0.5000 0.0000
# **Uncorrected energy**: -10.45 eV per atom
# **Crystal system**: monoclinic

***

10.
# PBEsol FeRe2Tc, relaxed
data_FeRe2Tc
_chemical_formula_sum 'Fe2 Re4 Tc2'
_symmetry_space_group_name_H-M 'I 4/m m m'
_symmetry_Int_Tables_number 139
_symmetry_space_group_name_Hall '-I 4 2'
_cell_length_a 3.7873
_cell_length_b 3.7873
_cell_length_c 7.5005
_cell_angle_alpha 90.00
_cell_angle_beta 90.00
_cell_angle_gamma 90.00
loop_
_atom_site_label
_atom_site_fract_x
_atom_site_fract_y
_atom_site_fract_z
Fe1 0.0000 0.0000 0.0000
Re1 0.0000 0.5000 0.2500
Tc1 0.0000 0.0000 0.5000
# **E above lowest polymorph**: 0.000 eV/atom
# **Crystal system**: tetragonal

***

11.
# PBEsol FeRe3Te, relaxed
data_FeRe3Te
_chemical_formula_sum 'Fe1 Re3 Te1'
_symmetry_space_group_name_H-M 'P m -3 m'
_symmetry_Int_Tables_number 221
_symmetry_space_group_name_Hall '-P 4 2 3'
_cell_length_a 4.7348
_cell_length_b 4.7348
_cell_length_c 4.7348
_cell_angle_alpha 90.00
_cell_angle_beta 90.00
_cell_angle_gamma 90.00
loop_
_atom_site_label
_atom_site_fract_x
_atom_site_fract_y
_atom_site_fract_z
Fe1 0.0000 0.0000 0.0000
Re1 0.0000 0.5000 0.5000
Te1 0.5000 0.5000 0.5000
# **Uncorrected energy**: -7.59 eV per atom
# **Crystal system**: cubic

***

12.
# PBEsol FeReTe, relaxed
data_FeReTe
_chemical_formula_sum 'Fe1 Re1 Te1'
_symmetry_space_group_name_H-M 'P 3 m 1'
_symmetry_Int_Tables_number 156
_symmetry_space_group_name_Hall 'P 3 -2"'
_cell_length_a 4.2042
_cell_length_b 4.2042
_cell_length_c 2.9813
_cell_angle_alpha 90.00
_cell_angle_beta 90.00
_cell_angle_gamma 120.00
loop_
_atom_site_label
_atom_site_fract_x
_atom_site_fract_y
_atom_site_fract_z
Fe1 0.0000 0.0000 0.0000
Re1 0.3333 0.6667 0.4987
Te1 0.6667 0.3333 0.9975
# **Uncorrected energy**: -7.85 eV per atom
# **Crystal system**: trigonal

***

13.
# PBEsol FeReTe4, relaxed
data_FeReTe4
_chemical_formula_sum 'Fe4 Re4 Te16'
_symmetry_space_group_name_H-M 'F -4 3 m'
_symmetry_Int_Tables_number 216
_symmetry_space_group_name_Hall 'F -4 2 3'
_cell_length_a 8.4972
_cell_length_b 8.4972
_cell_length_c 8.4972
_cell_angle_alpha 90.00
_cell_angle_beta 90.00
_cell_angle_gamma 90.00
loop_
_atom_site_label
_atom_site_fract_x
_atom_site_fract_y
_atom_site_fract_z
Fe1 0.0000 0.0000 0.0000
Re1 0.2500 0.2500 0.2500
Te1 0.1246 0.1246 0.6246
# **Uncorrected energy**: -4.28 eV per atom
# **Crystal system**: cubic

***

14.
# PBEsol Tl3FeRe, relaxed
data_Tl3FeRe
_chemical_formula_sum 'Tl3 Fe1 Re1'
_symmetry_space_group_name_H-M 'P m -3 m'
_symmetry_Int_Tables_number 221
_symmetry_space_group_name_Hall '-P 4 2 3'
_cell_length_a 5.2347
_cell_length_b 5.2347
_cell_length_c 5.2347
_cell_angle_alpha 90.00
_cell_angle_beta 90.00
_cell_angle_gamma 90.00
loop_
_atom_site_label
_atom_site_fract_x
_atom_site_fract_y
_atom_site_fract_z
Tl1 0.0000 0.0000 0.5000
Fe1 0.5000 0.5000 0.5000
Re1 0.0000 0.0000 0.0000
# **Uncorrected energy**: -4.62 eV per atom
# **Crystal system**: cubic

***

15.
# PBEsol TlFeRe2, relaxed
data_TlFeRe2
_chemical_formula_sum 'Tl1 Fe1 Re2'
_symmetry_space_group_name_H-M 'P 4/m m m'
_symmetry_Int_Tables_number 123
_symmetry_space_group_name_Hall '-P 4 2'
_cell_length_a 2.8161
_cell_length_b 2.8161
_cell_length_c 7.6512
_cell_angle_alpha 90.00
_cell_angle_beta 90.00
_cell_angle_gamma 90.00
loop_
_atom_site_label
_atom_site_fract_x
_atom_site_fract_y
_atom_site_fract_z
Tl1 0.0000 0.0000 0.0000
Fe1 0.0000 0.0000 0.5000
Re1 0.5000 0.5000 0.2939
# **E above lowest polymorph**: 0.000 eV/atom
# **Crystal system**: tetragonal